Here is an optimized crystal structure of NaNi2B from Alexandria via LeMat-Bulk. Energies are from GGA-PBE.

Properties
DFT total energy: -4.49 eV per atom
ΔE_f: 0.40 eV/atom

Cell lengths 4.746, 4.746, 6.898 Å; angles 69.88, 69.88, 90.00 degrees
Fractional positions:
Ni 0.374 0.125 0.250
Ni 0.376 0.625 0.250
Ni 0.375 0.626 0.750
Ni 0.875 0.624 0.750
B 0.500 0.500 0.000
B 0.250 0.750 0.500
Na 0.000 0.000 0.000
Na 0.750 0.250 0.500

Here is an optimized crystal structure of CeMnGe from Alexandria via LeMat-Bulk. Energies are from GGA-PBE.

Properties
DFT total energy: -6.93 eV per atom
ΔE_f: -0.36 eV/atom

Cell lengths 3.750, 4.367, 4.367 Å; angles 120.00, 90.00, 90.00 degrees
Last column: magnetic moment on the atom in μB.
Fractional positions:
Ge 0.167 0.000 0.000  -0.04
Mn 0.167 0.333 0.667  3.08
Ce 0.667 0.667 0.333  -0.61

Here is an optimized crystal structure of ZrCoSb2 from Alexandria via LeMat-Bulk. Energies are from GGA-PBE.

Properties
DFT total energy: -6.16 eV per atom

Cell lengths 6.228, 6.228, 6.228 Å; angles 145.87, 142.90, 51.29 degrees
Fractional positions:
Co 0.217 0.717 0.500
Sb 0.050 0.050 0.000
Sb 0.772 0.272 0.500
Zr 0.461 0.461 0.000

Here is an optimized crystal structure of LaNd3Ni3 from Alexandria via LeMat-Bulk. Energies are from GGA-PBE.

Properties
DFT total energy: -5.42 eV per atom
ΔE_f: -0.19 eV/atom

Cell lengths 7.002, 7.002, 6.958 Å; angles 89.33, 89.33, 92.67 degrees
Fractional positions:
La 0.754 0.754 0.886
La 0.246 0.246 0.114
Nd 0.673 0.673 0.393
Nd 0.179 0.821 0.500
Nd 0.821 0.179 0.500
Nd 0.256 0.744 0.000
Nd 0.744 0.256 0.000
Nd 0.327 0.327 0.607
Ni 0.939 0.939 0.185
Ni 0.981 0.494 0.705
Ni 0.494 0.981 0.705
Ni 0.019 0.506 0.295
Ni 0.506 0.019 0.295
Ni 0.061 0.061 0.815

Number 1: density of states at the Fermi level 5.3 states/eV/cell. Number 2: density of states at the Fermi level 6.8 states/eV/cell. Number 3: density of states at the Fermi level 2.8 states/eV/cell. Number 4: density of states at the Fermi level 14.1 states/eV/cell.